[1]
Below is Ca2RuPt after structural relaxation, with properties calculated at the PBE level. Values from VASP.

Properties
formation enthalpy at 0 K: 165 meV per atom
magnetic moment: 0.291 μB per atom

Cell and atoms, written as Quantum ESPRESSO input:
```
&SYSTEM
  ibrav = 0, nat = 8, ntyp = 3
/
ATOMIC_SPECIES
Ca 40.08 Ca.upf
Ru 101.07 Ru.upf
Pt 195.08 Pt.upf
CELL_PARAMETERS angstrom
-3.877 3.877 2.914
3.877 -3.877 2.914
3.877 3.877 -2.914
ATOMIC_POSITIONS crystal
Ca 0.119 0.625 0.994
Ca 0.375 0.369 0.494
Ca 0.631 0.125 0.006
Ca 0.875 0.881 0.506
Ru 0.250 0.750 0.500
Ru 0.500 0.500 0.000
Pt 0.000 0.000 0.000
Pt 0.750 0.250 0.500
```

[2]
Below is CaRuPt after structural relaxation, with properties calculated at the PBE level. Values from VASP.

Properties
formation enthalpy at 0 K: 339 meV per atom
polymorph energy (0 for the lowest one): 0.381 eV/atom
magnetic moment: 0.000 μB per atom

Cell and atoms, written as Quantum ESPRESSO input:
```
&SYSTEM
  ibrav = 0, nat = 3, ntyp = 3
/
ATOMIC_SPECIES
Ca 40.08 Ca.upf
Ru 101.07 Ru.upf
Pt 195.08 Pt.upf
CELL_PARAMETERS angstrom
2.959 0.000 0.000
-1.479 2.562 0.000
0.000 0.000 7.060
ATOMIC_POSITIONS crystal
Ca 0.000 0.000 0.000
Ru 0.333 0.667 0.653
Pt 0.667 0.333 0.348
```

[3]
Below is Ca2RuPt after structural relaxation, with properties calculated at the PBE level. Values from VASP.

Properties
formation enthalpy at 0 K: -21 meV per atom
magnetic moment: 0.101 μB per atom

Cell and atoms, written as Quantum ESPRESSO input:
```
&SYSTEM
  ibrav = 0, nat = 4, ntyp = 3
/
ATOMIC_SPECIES
Ca 40.08 Ca.upf
Ru 101.07 Ru.upf
Pt 195.08 Pt.upf
CELL_PARAMETERS angstrom
-2.082 2.082 4.723
2.082 -2.082 4.723
2.082 2.082 -4.723
ATOMIC_POSITIONS crystal
Ca 0.000 0.000 0.000
Ca 0.750 0.250 0.500
Ru 0.500 0.500 0.000
Pt 0.250 0.750 0.500
```

[4]
Below is CaRu2Pt after structural relaxation, with properties calculated at the PBE level. Values from VASP.

Properties
formation enthalpy at 0 K: 78 meV per atom
polymorph energy (0 for the lowest one): 0.067 eV/atom
magnetic moment: 0.066 μB per atom

Cell and atoms, written as Quantum ESPRESSO input:
```
&SYSTEM
  ibrav = 0, nat = 4, ntyp = 3
/
ATOMIC_SPECIES
Ca 40.08 Ca.upf
Ru 101.07 Ru.upf
Pt 195.08 Pt.upf
CELL_PARAMETERS angstrom
2.816 0.000 0.000
0.000 4.409 0.000
-1.348 0.000 5.458
ATOMIC_POSITIONS crystal
Ca 0.000 0.000 0.000
Ru 0.311 0.500 0.647
Ru 0.734 0.000 0.504
Pt 0.603 0.500 0.215
```

[5]
Below is Ca2RuPt after structural relaxation, with properties calculated at the PBE level. Values from VASP.

Properties
formation enthalpy at 0 K: 96 meV per atom
magnetic moment: 0.000 μB per atom

Cell and atoms, written as Quantum ESPRESSO input:
```
&SYSTEM
  ibrav = 0, nat = 4, ntyp = 3
/
ATOMIC_SPECIES
Ca 40.08 Ca.upf
Ru 101.07 Ru.upf
Pt 195.08 Pt.upf
CELL_PARAMETERS angstrom
1.648 0.951 8.821
-1.648 0.951 8.821
0.000 -1.903 8.821
ATOMIC_POSITIONS crystal
Ca 0.248 0.248 0.248
Ca 0.752 0.752 0.752
Ru 0.500 0.500 0.500
Pt 0.000 0.000 0.000
```

[6]
Below is Ca2RuPt after structural relaxation, with properties calculated at the PBE level. Values from VASP.

Properties
formation enthalpy at 0 K: -147 meV per atom
magnetic moment: 0.000 μB per atom

Cell and atoms, written as Quantum ESPRESSO input:
```
&SYSTEM
  ibrav = 0, nat = 4, ntyp = 3
/
ATOMIC_SPECIES
Ca 40.08 Ca.upf
Ru 101.07 Ru.upf
Pt 195.08 Pt.upf
CELL_PARAMETERS angstrom
3.728 0.000 0.000
0.000 4.683 0.000
0.000 0.000 4.683
ATOMIC_POSITIONS crystal
Ca 0.000 0.000 0.000
Ca 0.000 0.500 0.498
Ru 0.500 0.500 0.997
Pt 0.500 0.000 0.501
```

[7]
Below is CaRu2Pt after structural relaxation, with properties calculated at the PBE level. Values from VASP.

Properties
formation enthalpy at 0 K: 11 meV per atom
polymorph energy (0 for the lowest one): 0.000 eV/atom
magnetic moment: 0.000 μB per atom

Cell and atoms, written as Quantum ESPRESSO input:
```
&SYSTEM
  ibrav = 0, nat = 4, ntyp = 3
/
ATOMIC_SPECIES
Ca 40.08 Ca.upf
Ru 101.07 Ru.upf
Pt 195.08 Pt.upf
CELL_PARAMETERS angstrom
2.882 0.000 0.000
0.000 2.882 0.000
0.000 0.000 8.136
ATOMIC_POSITIONS crystal
Ca 0.000 0.000 0.000
Ru 0.000 0.000 0.515
Ru 0.500 0.500 0.710
Pt 0.500 0.500 0.277
```

[8]
Below is CaScRu2Pt after structural relaxation, with properties calculated at the PBE level. Values from VASP.

Properties
formation enthalpy at 0 K: 584 meV per atom
magnetic moment: 0.430 μB per atom

Cell and atoms, written as Quantum ESPRESSO input:
```
&SYSTEM
  ibrav = 0, nat = 5, ntyp = 4
/
ATOMIC_SPECIES
Ca 40.08 Ca.upf
Sc 44.96 Sc.upf
Ru 101.07 Ru.upf
Pt 195.08 Pt.upf
CELL_PARAMETERS angstrom
4.695 0.000 0.000
0.000 4.695 0.000
0.000 0.000 4.956
ATOMIC_POSITIONS crystal
Ca 0.000 0.000 0.000
Sc 0.500 0.500 0.500
Ru 0.000 0.500 0.500
Ru 0.500 0.000 0.500
Pt 0.500 0.500 0.000
```

[9]
Below is CaSc2RuPt after structural relaxation, with properties calculated at the PBE level. Values from VASP.

Properties
formation enthalpy at 0 K: 1410 meV per atom
magnetic moment: 0.089 μB per atom

Cell and atoms, written as Quantum ESPRESSO input:
```
&SYSTEM
  ibrav = 0, nat = 5, ntyp = 4
/
ATOMIC_SPECIES
Ca 40.08 Ca.upf
Sc 44.96 Sc.upf
Ru 101.07 Ru.upf
Pt 195.08 Pt.upf
CELL_PARAMETERS angstrom
4.840 0.000 0.000
0.000 4.840 0.000
0.000 0.000 4.661
ATOMIC_POSITIONS crystal
Ca 0.000 0.000 0.000
Sc 0.000 0.500 0.000
Sc 0.500 0.000 0.000
Ru 0.500 0.500 0.500
Pt 0.000 0.000 0.500
```

[10]
Below is Ca2Si4RuPt3 after structural relaxation, with properties calculated at the PBE level. Values from VASP.

Properties
formation energy without anion corrections: -937 meV per atom
magnetic moment: 0.000 μB per atom

Cell and atoms, written as Quantum ESPRESSO input:
```
&SYSTEM
  ibrav = 0, nat = 10, ntyp = 4
/
ATOMIC_SPECIES
Ca 40.08 Ca.upf
Si 28.09 Si.upf
Ru 101.07 Ru.upf
Pt 195.08 Pt.upf
CELL_PARAMETERS angstrom
4.151 0.000 0.000
0.000 4.151 0.000
0.000 0.000 10.096
ATOMIC_POSITIONS crystal
Ca 0.000 0.500 0.248
Ca 0.500 0.000 0.752
Si 0.000 0.000 0.000
Si 0.000 0.500 0.627
Si 0.500 0.000 0.373
Si 0.500 0.500 0.000
Ru 0.000 0.000 0.500
Pt 0.000 0.500 0.871
Pt 0.500 0.000 0.129
Pt 0.500 0.500 0.500
```

[11]
Below is CaTeRu2Pt after structural relaxation, with properties calculated at the PBE level. Values from VASP.

Properties
polymorph energy (0 for the lowest one): 0.000 eV/atom
formation energy without anion corrections: 601 meV per atom
magnetic moment: 0.261 μB per atom

Cell and atoms, written as Quantum ESPRESSO input:
```
&SYSTEM
  ibrav = 0, nat = 5, ntyp = 4
/
ATOMIC_SPECIES
Ca 40.08 Ca.upf
Te 127.60 Te.upf
Ru 101.07 Ru.upf
Pt 195.08 Pt.upf
CELL_PARAMETERS angstrom
4.863 0.000 0.000
0.000 4.863 0.000
0.000 0.000 5.008
ATOMIC_POSITIONS crystal
Ca 0.000 0.000 0.000
Te 0.500 0.500 0.500
Ru 0.000 0.500 0.500
Ru 0.500 0.000 0.500
Pt 0.500 0.500 0.000
```

[12]
Below is CaTeRu2Pt after structural relaxation, with properties calculated at the PBE level. Values from VASP.

Properties
polymorph energy (0 for the lowest one): 0.211 eV/atom
formation energy without anion corrections: 812 meV per atom
magnetic moment: 0.124 μB per atom

Cell and atoms, written as Quantum ESPRESSO input:
```
&SYSTEM
  ibrav = 0, nat = 5, ntyp = 4
/
ATOMIC_SPECIES
Ca 40.08 Ca.upf
Te 127.60 Te.upf
Ru 101.07 Ru.upf
Pt 195.08 Pt.upf
CELL_PARAMETERS angstrom
4.822 0.000 0.000
0.000 4.822 0.000
0.000 0.000 5.368
ATOMIC_POSITIONS crystal
Ca 0.000 0.000 0.000
Te 0.500 0.500 0.000
Ru 0.000 0.500 0.500
Ru 0.500 0.000 0.500
Pt 0.500 0.500 0.500
```

[13]
Below is Ca2ZnRuPt after structural relaxation, with properties calculated at the PBE level. Values from VASP.

Properties
formation enthalpy at 0 K: 249 meV per atom
magnetic moment: 0.089 μB per atom

Cell and atoms, written as Quantum ESPRESSO input:
```
&SYSTEM
  ibrav = 0, nat = 5, ntyp = 4
/
ATOMIC_SPECIES
Ca 40.08 Ca.upf
Zn 65.41 Zn.upf
Ru 101.07 Ru.upf
Pt 195.08 Pt.upf
CELL_PARAMETERS angstrom
5.472 0.000 0.000
0.000 5.472 0.000
0.000 0.000 4.785
ATOMIC_POSITIONS crystal
Ca 0.000 0.500 0.000
Ca 0.500 0.000 0.000
Zn 0.000 0.000 0.500
Ru 0.500 0.500 0.500
Pt 0.500 0.500 0.000
```

[14]
Below is CaPtS2 after structural relaxation, with properties calculated at the PBE level. Values from VASP.

Properties
polymorph energy (0 for the lowest one): 0.365 eV/atom
formation energy without anion corrections: -475 meV per atom
magnetic moment: 0.403 μB per atom

Cell and atoms, written as Quantum ESPRESSO input:
```
&SYSTEM
  ibrav = 0, nat = 4, ntyp = 3
/
ATOMIC_SPECIES
Ca 40.08 Ca.upf
Pt 195.08 Pt.upf
S 32.06 S.upf
CELL_PARAMETERS angstrom
0.000 3.309 3.309
3.309 0.000 3.309
3.309 3.309 0.000
ATOMIC_POSITIONS crystal
Ca 0.000 0.000 0.000
Pt 0.500 0.500 0.500
S 0.250 0.250 0.250
S 0.750 0.750 0.750
```

[15]
Below is CaPtS3 after structural relaxation, with properties calculated at the PBE level. Values from VASP.

Properties
polymorph energy (0 for the lowest one): 0.000 eV/atom
formation energy without anion corrections: -436 meV per atom
magnetic moment: 0.000 μB per atom

Cell and atoms, written as Quantum ESPRESSO input:
```
&SYSTEM
  ibrav = 0, nat = 5, ntyp = 3
/
ATOMIC_SPECIES
Ca 40.08 Ca.upf
Pt 195.08 Pt.upf
S 32.06 S.upf
CELL_PARAMETERS angstrom
4.768 0.000 0.000
0.000 4.768 0.000
0.000 0.000 4.768
ATOMIC_POSITIONS crystal
Ca 0.000 0.000 0.000
Pt 0.500 0.500 0.500
S 0.000 0.500 0.500
S 0.500 0.000 0.500
S 0.500 0.500 0.000
```

[16]
Below is CaPt2S after structural relaxation, with properties calculated at the PBE level. Values from VASP.

Properties
formation energy without anion corrections: -631 meV per atom
magnetic moment: 0.000 μB per atom

Cell and atoms, written as Quantum ESPRESSO input:
```
&SYSTEM
  ibrav = 0, nat = 8, ntyp = 3
/
ATOMIC_SPECIES
Ca 40.08 Ca.upf
Pt 195.08 Pt.upf
S 32.06 S.upf
CELL_PARAMETERS angstrom
-2.570 2.570 7.265
2.570 -2.570 7.265
2.570 2.570 -7.265
ATOMIC_POSITIONS crystal
Ca 0.000 0.000 0.000
Ca 0.750 0.250 0.500
Pt 0.280 0.625 0.155
Pt 0.375 0.530 0.655
Pt 0.470 0.125 0.845
Pt 0.875 0.720 0.345
S 0.250 0.750 0.500
S 0.500 0.500 0.000
```

[17]
Below is CaPtS2 after structural relaxation, with properties calculated at the PBE level. Values from VASP.

Properties
polymorph energy (0 for the lowest one): 0.427 eV/atom
formation energy without anion corrections: -412 meV per atom
magnetic moment: 0.000 μB per atom

Cell and atoms, written as Quantum ESPRESSO input:
```
&SYSTEM
  ibrav = 0, nat = 4, ntyp = 3
/
ATOMIC_SPECIES
Ca 40.08 Ca.upf
Pt 195.08 Pt.upf
S 32.06 S.upf
CELL_PARAMETERS angstrom
1.862 1.075 7.878
-1.862 1.075 7.878
0.000 -2.150 7.878
ATOMIC_POSITIONS crystal
Ca 0.000 0.000 0.000
Pt 0.500 0.500 0.500
S 0.116 0.116 0.116
S 0.884 0.884 0.884
```

[18]
Below is CaPtS3 after structural relaxation, with properties calculated at the PBE level. Values from VASP.

Properties
polymorph energy (0 for the lowest one): 1.289 eV/atom
formation energy without anion corrections: 853 meV per atom
magnetic moment: 0.703 μB per atom

Cell and atoms, written as Quantum ESPRESSO input:
```
&SYSTEM
  ibrav = 0, nat = 5, ntyp = 3
/
ATOMIC_SPECIES
Ca 40.08 Ca.upf
Pt 195.08 Pt.upf
S 32.06 S.upf
CELL_PARAMETERS angstrom
5.147 0.000 0.000
0.000 5.147 0.000
0.000 0.000 5.147
ATOMIC_POSITIONS crystal
Ca 0.000 0.000 0.000
Pt 0.500 0.500 0.500
S 0.000 0.000 0.500
S 0.000 0.500 0.000
S 0.500 0.000 0.000
```

[19]
Below is CaPtS2 after structural relaxation, with properties calculated at the PBE level. Values from VASP.

Properties
polymorph energy (0 for the lowest one): 0.199 eV/atom
formation energy without anion corrections: -640 meV per atom
magnetic moment: 0.000 μB per atom

Cell and atoms, written as Quantum ESPRESSO input:
```
&SYSTEM
  ibrav = 0, nat = 4, ntyp = 3
/
ATOMIC_SPECIES
Ca 40.08 Ca.upf
Pt 195.08 Pt.upf
S 32.06 S.upf
CELL_PARAMETERS angstrom
2.448 1.413 5.509
-2.448 1.413 5.509
0.000 -2.826 5.509
ATOMIC_POSITIONS crystal
Ca 0.000 0.000 0.000
Pt 0.500 0.500 0.500
S 0.368 0.368 0.368
S 0.632 0.632 0.632
```

[20]
Below is CaPtS2 after structural relaxation, with properties calculated at the PBE level. Values from VASP.

Properties
polymorph energy (0 for the lowest one): 0.000 eV/atom
formation energy without anion corrections: -840 meV per atom
magnetic moment: 0.000 μB per atom

Cell and atoms, written as Quantum ESPRESSO input:
```
&SYSTEM
  ibrav = 0, nat = 8, ntyp = 3
/
ATOMIC_SPECIES
Ca 40.08 Ca.upf
Pt 195.08 Pt.upf
S 32.06 S.upf
CELL_PARAMETERS angstrom
-2.627 2.627 6.899
2.627 -2.627 6.899
2.627 2.627 -6.899
ATOMIC_POSITIONS crystal
Ca 0.000 0.000 0.000
Ca 0.750 0.250 0.500
Pt 0.250 0.750 0.500
Pt 0.500 0.500 0.000
S 0.193 0.625 0.068
S 0.375 0.443 0.568
S 0.557 0.125 0.932
S 0.875 0.807 0.432
```